Entry 1:
Material: NiSn3Bi
Method: DFT, GGA-PBE
State: optimized geometry

Cell lengths 5.069, 5.069, 5.069 Å; angles 90.00, 90.00, 90.00 degrees
Atoms (fractional coordinates):
Sn (0.000, 0.000, 0.500)
Sn (0.500, 0.000, 0.000)
Sn (0.000, 0.500, 0.000)
Bi (0.500, 0.500, 0.500)
Ni (0.000, 0.000, 0.000)

Output
* offset from the most stable computed form: 0.000 eV per atom
* total magnetic moment: 0.00 μB per formula unit
* D(E_F): 2.2 states/eV per cell
* total energy: -4.31 eV per atom

***

Entry 2:
Material: ScMo2Ru
Method: DFT, GGA-PBE
State: optimized geometry

Cell lengths 5.226, 5.226, 2.808 Å; angles 90.00, 90.00, 121.18 degrees
Atoms (fractional coordinates):
Sc (0.000, 0.500, 0.500)
Ru (0.500, 0.000, 0.500)
Mo (0.500, 0.500, 0.000)
Mo (0.000, 0.000, 0.000)

Output
* offset from the most stable computed form: 0.259 eV per atom
* total magnetic moment: 0.00 μB per formula unit
* D(E_F): 5.0 states/eV per cell
* total energy: -9.17 eV per atom

***

Entry 3:
Material: La2Nd6Dy5
Method: DFT, GGA-PBE
State: optimized geometry

Cell lengths 3.671, 11.923, 20.650 Å; angles 90.00, 90.00, 90.00 degrees
Atoms (fractional coordinates):
Nd (0.000, 0.921, 0.636)
Dy (0.500, 0.093, 0.221)
Dy (0.500, 0.700, 0.555)
Nd (0.500, 0.321, 0.125)
La (0.000, 0.668, 0.718)
Dy (0.500, 0.407, 0.721)
Dy (0.500, 0.500, 0.000)
Dy (0.500, 0.300, 0.445)
Nd (0.000, 0.941, 0.924)
Nd (0.000, 0.079, 0.364)
Dy (0.500, 0.000, 0.500)
Nd (0.000, 0.421, 0.864)
Nd (0.000, 0.441, 0.576)
La (0.000, 0.332, 0.282)
Dy (0.500, 0.200, 0.945)
Nd (0.500, 0.821, 0.375)
Dy (0.500, 0.800, 0.055)
Dy (0.500, 0.593, 0.279)
Nd (0.500, 0.679, 0.875)
Nd (0.500, 0.179, 0.625)
La (0.000, 0.832, 0.218)
Nd (0.000, 0.579, 0.136)
La (0.000, 0.168, 0.782)
Nd (0.000, 0.559, 0.424)
Nd (0.000, 0.059, 0.076)
Dy (0.500, 0.907, 0.779)

Output
* total magnetic moment: 0.00 μB per formula unit
* D(E_F): 32.8 states/eV per cell
* total energy: -4.63 eV per atom

***

Entry 4:
Material: Y2ZnReSb
Method: DFT, GGA-PBE
State: optimized geometry

Cell lengths 5.639, 4.754, 5.639 Å; angles 90.00, 90.00, 90.00 degrees
Site moments in Bohr magnetons follow the coordinates.
Atoms (fractional coordinates):
Y (0.000, 0.000, 0.500)  -0.17
Re (0.500, 0.500, 0.500)  2.49
Sb (0.000, 0.000, 0.000)  0.03
Y (0.500, 0.000, 0.000)  -0.18
Zn (0.000, 0.500, 0.000)  -0.01

Output
* offset from the most stable computed form: 0.863 eV per atom
* total magnetic moment: 2.24 μB per formula unit
* energy relative to the elements, uncorrected: 5.36 eV per formula unit
* D(E_F): 5.0 states/eV per cell
* total energy: -5.08 eV per atom

***

Question: Which of these has the highest total energy?
Answer: NiSn3Bi

***

Question: Number 4 is which compound?
Answer: Y2ZnReSb